(1)
# Li4Mn3Co3Sb2O16

Crystalline Li4Mn3Co3Sb2O16 at its relaxed geometry (GGA-PBEsol, Alexandria via LeMat-Bulk).

Calculated values
Crystal system   monoclinic
E_tot   -197.35 eV per cell
Total magnetization   10.07 μB per formula unit
Formation energy from raw total energies   -1.57 eV/atom
Calculated density   5.29 g cm⁻³
Volume   272.8 Å³/f.u.

a b c (Å): 5.745 5.756 9.523
angles (deg): 91.08 90.00 119.94
Each line ends with the local moment (μB).
Element x y z (fractional)
1 Sb 0.332 0.663 0.515  0.00
2 Sb 0.674 0.348 0.008  0.00
3 Mn 0.170 0.340 0.787  0.00
4 Mn 0.337 0.168 0.286  0.00
5 Mn 0.830 0.168 0.286  2.59
6 Co 0.170 0.831 0.786  3.47
7 Co 0.661 0.831 0.786  3.47
8 Co 0.826 0.653 0.284  -0.08
9 O 0.482 0.965 0.669  -0.08
10 O 0.336 0.671 0.885  -0.03
11 O 0.999 0.998 0.696  0.03
12 O 0.995 0.990 0.197  0.00
13 O 0.843 0.686 0.896  0.01
14 O 0.157 0.314 0.409  0.01
15 O 0.665 0.331 0.387  0.02
16 O 0.521 0.042 0.151  0.01
17 O 0.153 0.822 0.404  -0.01
18 O 0.669 0.822 0.404  0.04
19 O 0.033 0.515 0.668  0.00
20 O 0.482 0.515 0.668  0.04
21 O 0.527 0.503 0.155  0.03
22 O 0.976 0.503 0.155  0.03
23 O 0.321 0.166 0.899  0.00
24 O 0.845 0.166 0.899  0.00
25 Li 0.339 0.679 0.092  0.04
26 Li 0.999 0.998 0.008  0.04
27 Li 0.991 0.982 0.509  0.02
28 Li 0.665 0.331 0.603  0.02


(2)
# Li4Mn3Co3Te2O16

Crystalline Li4Mn3Co3Te2O16 at its relaxed geometry (GGA-PBEsol, Alexandria via LeMat-Bulk).

Calculated values
Crystal system   monoclinic
E_tot   -192.64 eV per cell
Total magnetization   7.95 μB per formula unit
Formation energy from raw total energies   -1.47 eV/atom
Calculated density   5.25 g cm⁻³
Volume   278.3 Å³/f.u.

a b c (Å): 5.753 5.754 9.710
angles (deg): 89.81 89.81 59.98
Each line ends with the local moment (μB).
Element x y z (fractional)
1 Li 0.333 0.333 0.101  0.00
2 Li 0.998 0.998 0.006  0.00
3 Li 0.999 0.999 0.508  0.00
4 Li 0.667 0.667 0.604  0.00
5 Mn 0.171 0.171 0.784  2.61
6 Mn 0.337 0.832 0.284  2.52
7 Mn 0.832 0.337 0.284  2.52
8 Co 0.168 0.663 0.785  0.01
9 Co 0.663 0.168 0.785  0.01
10 Co 0.830 0.830 0.285  -0.21
11 Te 0.338 0.338 0.512  0.01
12 Te 0.668 0.668 0.006  0.02
13 O 0.158 0.692 0.395  0.01
14 O 0.484 0.484 0.671  0.00
15 O 0.333 0.333 0.886  0.01
16 O 0.001 0.001 0.694  0.01
17 O 0.997 0.997 0.191  0.01
18 O 0.692 0.158 0.395  0.01
19 O 0.029 0.487 0.672  0.02
20 O 0.487 0.029 0.672  0.02
21 O 0.845 0.845 0.893  0.00
22 O 0.154 0.154 0.392  0.02
23 O 0.511 0.970 0.171  0.02
24 O 0.970 0.511 0.171  0.02
25 O 0.665 0.665 0.387  0.02
26 O 0.310 0.846 0.893  0.01
27 O 0.513 0.513 0.171  0.02
28 O 0.845 0.310 0.893  0.01


(3)
# Li4Ti2Mn3Co3O16

Crystalline Li4Ti2Mn3Co3O16 at its relaxed geometry (GGA-PBEsol, Alexandria via LeMat-Bulk).

Calculated values
Crystal system   monoclinic
E_tot   -215.05 eV per cell
Total magnetization   7.97 μB per formula unit
Formation energy from raw total energies   -1.93 eV/atom
Calculated density   4.68 g cm⁻³
Volume   256.0 Å³/f.u.

a b c (Å): 5.653 5.662 9.239
angles (deg): 90.00 89.80 120.05
Each line ends with the local moment (μB).
Element x y z (fractional)
1 Mn 0.343 0.172 0.217  0.00
2 Mn 0.172 0.341 0.716  0.00
3 Mn 0.172 0.831 0.716  0.00
4 Co 0.830 0.169 0.214  0.00
5 Co 0.830 0.661 0.214  0.01
6 Co 0.661 0.831 0.714  0.03
7 Li 0.666 0.333 0.896  2.62
8 Li 0.995 0.997 0.999  2.49
9 Li 0.994 0.997 0.496  2.49
10 Li 0.332 0.666 0.392  0.02
11 O 0.839 0.169 0.600  0.02
12 O 0.959 0.480 0.333  -0.13
13 O 0.668 0.334 0.109  0.01
14 O 0.999 0.999 0.307  0.01
15 O 0.997 0.998 0.809  0.02
16 O 0.838 0.669 0.600  0.02
17 O 0.518 0.036 0.336  0.03
18 O 0.518 0.481 0.336  0.01
19 O 0.667 0.833 0.101  0.01
20 O 0.330 0.165 0.599  0.01
21 O 0.478 0.516 0.836  -0.01
22 O 0.478 0.962 0.836  0.03
23 O 0.334 0.667 0.608  0.01
24 O 0.166 0.330 0.100  0.01
25 O 0.034 0.517 0.836  0.03
26 O 0.166 0.836 0.100  0.01
27 Ti 0.678 0.339 0.492  0.01
28 Ti 0.339 0.669 0.997  0.01


(4)
# LiCoMo2

Crystalline LiCoMo2 at its relaxed geometry (GGA-PBEsol, Alexandria via LeMat-Bulk).

Calculated values
Crystal system   tetragonal
E_tot   -60.99 eV per cell
Total magnetization   0.00 μB per formula unit
Calculated density   7.65 g cm⁻³
Volume   56.0 Å³/f.u.

a b c (Å): 4.927 5.365 5.365
angles (deg): 77.83 62.67 62.67
Element x y z (fractional)
1 Mo 0.092 0.033 0.533
2 Mo 0.658 0.967 0.467
3 Mo 0.375 0.533 0.967
4 Mo 0.875 0.467 0.033
5 Co 0.750 0.500 0.500
6 Co 0.000 0.000 0.000
7 Li 0.250 0.500 0.500
8 Li 0.500 0.000 0.000